A:
Entry from the Alexandria database: a geometry-optimized Pm2Nd5Er2 structure (PBE-GGA).

M_tot = 0.000 μB/f.u.

a b c (Å): 11.952 6.882 10.192
angles (deg): 109.73 125.90 90.00
Sites, in units of the cell vectors:
1 Nd 0.623 0.735 0.714
2 Nd 0.806 0.764 0.106
3 Nd 0.591 0.235 0.714
4 Nd 0.799 0.264 0.106
5 Nd 0.007 0.659 0.500
6 Nd 0.993 0.159 0.500
7 Nd 0.201 0.159 0.894
8 Nd 0.377 0.021 0.286
9 Nd 0.409 0.521 0.286
10 Nd 0.194 0.659 0.894
11 Er 0.258 0.350 0.500
12 Er 0.000 0.035 0.000
13 Er 0.742 0.850 0.500
14 Er 0.500 0.535 0.000
15 Pm 0.870 0.430 0.747
16 Pm 0.130 0.683 0.253
17 Pm 0.377 0.930 0.747
18 Pm 0.623 0.183 0.253

B:
Entry from the Alexandria database: a geometry-optimized Pm2Nd5Er2 structure (PBE-GGA).

M_tot = 0.000 μB/f.u.

a b c (Å): 6.302 6.303 14.080
angles (deg): 58.52 132.17 131.83
Sites, in units of the cell vectors:
1 Nd 0.778 0.667 0.445
2 Nd 0.222 0.333 0.555
3 Nd 0.000 0.000 0.000
4 Nd 0.556 0.333 0.889
5 Nd 0.444 0.667 0.111
6 Pm 0.669 0.999 0.668
7 Pm 0.331 0.001 0.332
8 Er 0.110 0.667 0.777
9 Er 0.890 0.333 0.223

Most stable to least stable, the ends of the list are B and A.